1.
A relaxed DyTmSc2As4 crystal. Source: the Alexandria database, functional PBE.

a = 6.8963 Å, b = 3.9920 Å, c = 6.9089 Å
α = 90.00°, β = 109.51°, γ = 90.00°
Space group P2/m (No. 10)
Symmetry-distinct sites (fractional):
1 Dy 0.0000 0.0000 0.0000 x1
2 Tm 0.0000 0.5000 0.5000 x1
3 Sc 0.5000 0.0000 0.5000 x1
4 Sc 0.5000 0.5000 0.0000 x1
5 As 0.2626 0.0000 0.7525 x2
6 As 0.2638 0.5000 0.2562 x2

Properties
- Uncorrected energy: -6.481 eV/atom
- E_form: -1439 meV/atom

***

2.
A relaxed DyTm2Sc3As6 crystal. Source: the Alexandria database, functional PBE.

a = 6.9032 Å, b = 11.9562 Å, c = 6.8861 Å
α = 90.00°, β = 109.49°, γ = 90.00°
Space group C2/m (No. 12)
Symmetry-distinct sites (fractional):
1 Dy 0.0000 0.0000 0.0000 x2
2 Tm 0.0000 0.3332 0.0000 x4
3 Sc 0.0000 0.1661 0.5000 x4
4 Sc 0.0000 0.5000 0.5000 x2
5 As 0.2447 0.3323 0.7373 x8
6 As 0.2480 0.0000 0.7376 x4

Properties
- Uncorrected energy: -6.473 eV/atom
- E_form: -1437 meV/atom

***

3.
A relaxed Dy2Tm3ScAs6 crystal. Source: the Alexandria database, functional PBE.

a = 17.6666 Å, b = 4.0556 Å, c = 8.1075 Å
α = 90.00°, β = 103.28°, γ = 90.00°
Space group C2/m (No. 12)
Symmetry-distinct sites (fractional):
1 Dy 0.1654 0.0000 0.3316 x4
2 Tm 0.0000 0.5000 0.5000 x2
3 Tm 0.1674 0.0000 0.8343 x4
4 Sc 0.0000 0.5000 0.0000 x2
5 As 0.0015 0.0000 0.7583 x4
6 As 0.1636 0.5000 0.0790 x4
7 As 0.1659 0.5000 0.5853 x4

Properties
- Uncorrected energy: -6.220 eV/atom
- E_form: -1483 meV/atom

***

4.
A relaxed DySc2UAs4 crystal. Source: the Alexandria database, functional PBE.

a = 6.8928 Å, b = 3.9835 Å, c = 6.9234 Å
α = 90.00°, β = 109.28°, γ = 90.00°
Space group P2/m (No. 10)
Symmetry-distinct sites (fractional):
1 Dy 0.0000 0.0000 0.0000 x1
2 Sc 0.5000 0.0000 0.5000 x1
3 Sc 0.5000 0.5000 0.0000 x1
4 U 0.0000 0.5000 0.5000 x1
5 As 0.2625 0.5000 0.2578 x2
6 As 0.2637 0.0000 0.7534 x2

Properties
- Uncorrected energy: -7.140 eV/atom
- E_form: -1246 meV/atom

***

5.
A relaxed DyScU2As4 crystal. Source: the Alexandria database, functional PBE.

a = 6.9571 Å, b = 4.0181 Å, c = 7.0867 Å
α = 90.00°, β = 109.09°, γ = 90.00°
Space group P2/m (No. 10)
Symmetry-distinct sites (fractional):
1 Dy 0.0000 0.0000 0.0000 x1
2 Sc 0.5000 0.5000 0.0000 x1
3 U 0.0000 0.5000 0.5000 x1
4 U 0.5000 0.0000 0.5000 x1
5 As 0.2556 0.5000 0.2462 x2
6 As 0.2595 0.0000 0.7583 x2

Properties
- Uncorrected energy: -7.603 eV/atom
- E_form: -1090 meV/atom

***

6.
A relaxed Dy2ScUAs4 crystal. Source: the Alexandria database, functional PBE.

a = 7.0016 Å, b = 4.0425 Å, c = 7.0239 Å
α = 90.00°, β = 109.17°, γ = 90.00°
Space group P2/m (No. 10)
Symmetry-distinct sites (fractional):
1 Dy 0.0000 0.0000 0.0000 x1
2 Dy 0.5000 0.5000 0.0000 x1
3 Sc 0.0000 0.5000 0.5000 x1
4 U 0.5000 0.0000 0.5000 x1
5 As 0.2428 0.0000 0.7377 x2
6 As 0.2469 0.5000 0.2570 x2

Properties
- Uncorrected energy: -6.958 eV/atom
- E_form: -1280 meV/atom